# NaLaPr2, relaxed, DFT PBE
data_NaLaPr2
_cell_length_a 3.6757
_cell_length_b 3.6757
_cell_length_c 37.6463
_cell_angle_alpha 90.00
_cell_angle_beta 90.00
_cell_angle_gamma 120.00
_space_group_name_H-M_alt 'R 3 m'
_space_group_IT_number 160
_space_group_name_Hall 'R 3 -2"'
loop_
_atom_site_label
_atom_site_type_symbol
_atom_site_fract_x
_atom_site_fract_y
_atom_site_fract_z
Na1 Na 0.0000 0.0000 0.0000
La1 La 0.0000 0.0000 0.1668
Pr1 Pr 0.0000 0.0000 0.4186
Pr2 Pr 0.0000 0.0000 0.5815
# crystal system: trigonal
# total magnetic moment: 0.0 μB per formula unit
# DFT formation energy: 109 meV per atom
# relative energy among the computed polymorphs: 1.4 kJ/mol of atoms
# ρ: 5.02 Mg/m³